Record 1
First-principles (PBE) data for AgPS4 after structural relaxation, as listed in Alexandria via LeMat-Bulk.

Summary:
Uncorrected energy (eV/f.u.): -23.8
E_form (uncorrected) (eV per atom): 0.16
Calculated volume (Å³ per atom): 21.24
DOS at the Fermi energy (states/eV per cell): 4.27

Cell and atoms, written as CIF:
```
data_AgPS4
_chemical_formula_sum 'Ag2 P2 S8'
_symmetry_space_group_name_H-M 'C 1 2/m 1'
_symmetry_Int_Tables_number 12
_cell_length_a 13.4308
_cell_length_b 3.3412
_cell_length_c 6.1140
_cell_angle_alpha 90.00
_cell_angle_beta 111.75
_cell_angle_gamma 90.00
loop_
_symmetry_equiv_pos_as_xyz
'x,y,z'
'-x,-y,-z'
'-x,y,-z'
'x,-y,z'
'x+1/2,y+1/2,z'
'-x+1/2,-y+1/2,-z'
'-x+1/2,y+1/2,-z'
'x+1/2,-y+1/2,z'
loop_
_atom_site_label
_atom_site_type_symbol
_atom_site_fract_x
_atom_site_fract_y
_atom_site_fract_z
_atom_site_occupancy
Ag1 Ag 0.0000 0.0000 0.0000 1
P1 P 0.0000 0.5000 0.5000 1
S1 S 0.1078 0.0000 0.4474 1
S2 S 0.1099 0.5000 0.8686 1
```

=====

Record 2
First-principles (PBE) data for AgP2S6 after structural relaxation, as listed in Alexandria via LeMat-Bulk.

Summary:
Uncorrected energy (eV/f.u.): -37.6
E_form (uncorrected) (eV per atom): 0.09
Calculated volume (Å³ per atom): 34.12
DOS at the Fermi energy (states/eV per cell): 5.37
E above lowest polymorph (meV per atom): 152

Cell and atoms, written as CIF:
```
data_AgP2S6
_chemical_formula_sum 'Ag1 P2 S6'
_symmetry_space_group_name_H-M 'P -3 m 1'
_symmetry_Int_Tables_number 164
_symmetry_space_group_name_Hall '-P 3 2"'
_cell_length_a 6.7339
_cell_length_b 6.7339
_cell_length_c 7.8189
_cell_angle_alpha 90.00
_cell_angle_beta 90.00
_cell_angle_gamma 120.00
loop_
_atom_site_label
_atom_site_type_symbol
_atom_site_fract_x
_atom_site_fract_y
_atom_site_fract_z
_atom_site_occupancy
Ag1 Ag 0.0000 0.0000 0.0000 1
P1 P 0.3333 0.6667 0.7626 1
S1 S 0.1658 0.3317 0.7494 1
```

=====

Record 3
First-principles (PBE) data for AgSbP2S after structural relaxation, as listed in Alexandria via LeMat-Bulk.

Summary:
Uncorrected energy (eV/f.u.): -16.7
E_form (uncorrected) (eV per atom): 1.05
Calculated volume (Å³ per atom): 26.05
DOS at the Fermi energy (states/eV per cell): 4.25
E above lowest polymorph (meV per atom): 80

Cell and atoms, written as CIF:
```
data_AgSbP2S
_chemical_formula_sum 'Ag1 Sb1 P2 S1'
_symmetry_space_group_name_H-M 'P 4/m m m'
_symmetry_Int_Tables_number 123
_symmetry_space_group_name_Hall '-P 4 2'
_cell_length_a 5.0977
_cell_length_b 5.0977
_cell_length_c 5.0129
_cell_angle_alpha 90.00
_cell_angle_beta 90.00
_cell_angle_gamma 90.00
loop_
_atom_site_label
_atom_site_type_symbol
_atom_site_fract_x
_atom_site_fract_y
_atom_site_fract_z
_atom_site_occupancy
Ag1 Ag 0.0000 0.0000 0.0000 1
Sb1 Sb 0.5000 0.5000 0.5000 1
P1 P 0.0000 0.5000 0.5000 1
S1 S 0.5000 0.5000 0.0000 1
```